# Li2V2O5F2 | the Alexandria database | GGA+U | optimized geometry
# - Total energy: -283.69 eV per cell
# - Calculated volume: 11.80 Å³/atom
data_Li2V2O5F2
_chemical_formula_sum 'Li8 V8 O20 F8'
_cell_length_a 11.800
_cell_length_b 7.190
_cell_length_c 7.025
_cell_angle_alpha 90.00
_cell_angle_beta 119.38
_cell_angle_gamma 90.00
_symmetry_space_group_name_H-M 'C 1 c 1'
_symmetry_Int_Tables_number 9
loop_
_symmetry_equiv_pos_as_xyz
'x,y,z'
'x,-y,z+1/2'
'x+1/2,y+1/2,z'
'x+1/2,-y+1/2,z+1/2'
loop_
_atom_site_label
_atom_site_type_symbol
_atom_site_fract_x
_atom_site_fract_y
_atom_site_fract_z
Li1 Li 0.000 0.013 0.000
Li2 Li 0.394 0.222 0.695
V1 V 0.109 0.468 0.642
V2 V 0.328 0.216 0.097
O1 O 0.075 0.430 0.333
O2 O 0.211 0.340 0.142
O3 O 0.228 0.310 0.794
O4 O 0.275 0.001 0.064
O5 O 0.464 0.199 0.035
F1 F 0.436 0.476 0.698
F2 F 0.443 0.210 0.410